Entry 1:
This record from Alexandria via LeMat-Bulk describes a geometry-optimized TlTc4Au structure. The functional is PBE.

Output
For the total energy, the calculation gives -43.27 eV per cell. Its space-group type is F-43m (216). The calculated volume comes out at 17.0 Å³ per atom. The calculation puts the formation energy at 0.640 eV/atom.

Unit cell a=5.2464 b=5.2464 c=5.2464 alpha=60.00 beta=60.00 gamma=60.00
Closest atoms and distances in Å follow each position.
Element x y z (fractional)
Tl 0.0000 0.0000 0.0000  12 Tc 3.08, 4 Au 3.21
Tc 0.3760 0.3760 0.3760  6 Tc 2.60-2.64
Tc 0.3760 0.3760 0.8720  6 Tc 2.60-2.64
Tc 0.3760 0.8720 0.3760  6 Tc 2.60-2.64
Tc 0.8720 0.3760 0.3760  6 Tc 2.60-2.64
Au 0.7500 0.7500 0.7500  12 Tc 3.07, 4 Tl 3.21


Entry 2:
This record from Alexandria via LeMat-Bulk describes a geometry-optimized AlZnBiSb2 structure. The functional is PBE.

Output
For the total energy, the calculation gives -14.04 eV per cell. Its space-group type is P4/mmm (123). The calculated volume comes out at 30.9 Å³ per atom. The value obtained for the raw formation energy is 0.620 eV/atom.

Unit cell a=5.2555 b=5.2555 c=5.5850 alpha=90.00 beta=90.00 gamma=90.00
Closest atoms and distances in Å follow each position.
Element x y z (fractional)
Al 0.0000 0.0000 0.0000  4 Sb 2.63, 2 Bi 2.79
Zn 0.5000 0.5000 0.5000  4 Bi 3.72, 8 Sb 3.83
Bi 0.0000 0.0000 0.5000  2 Al 2.79
Sb 0.0000 0.5000 0.0000  2 Al 2.63
Sb 0.5000 0.0000 0.0000  2 Al 2.63


Entry 3:
This record from Alexandria via LeMat-Bulk describes a geometry-optimized HoAsI structure. The functional is PBE.

Output
For the total energy, the calculation gives -27.62 eV per cell. The value obtained for the energy above the lowest structure with this stoichiometry is 0.0 meV per atom. Its space-group type is C2/m (12). The calculated volume comes out at 39.3 Å³ per atom. The value obtained for the raw formation energy is -1.010 eV/atom.

Unit cell a=8.2232 b=8.2232 c=7.6768 alpha=109.47 beta=109.47 gamma=28.94
Closest atoms and distances in Å follow each position.
Element x y z (fractional)
Ho 0.0067 0.0067 0.2231  4 As 2.85-3.03, 2 I 3.01-3.04
Ho 0.9933 0.9933 0.7769  4 As 2.85-3.03, 2 I 3.01-3.04
As 0.4149 0.4149 0.9289  1 As 2.55, 2 Ho 2.85
As 0.5851 0.5851 0.0711  1 As 2.55, 2 Ho 2.85
I 0.1412 0.1412 0.6114  2 Ho 3.01-3.04
I 0.8588 0.8588 0.3886  2 Ho 3.01-3.04


Entry 4:
This record from Alexandria via LeMat-Bulk describes a geometry-optimized Rb2AlS8 structure. The functional is PBE.

Output
For the total energy, the calculation gives -43.48 eV per cell. Its space-group type is P-1 (2). The calculated volume comes out at 30.3 Å³ per atom. The value obtained for the raw formation energy is -0.435 eV/atom.

Unit cell a=6.2054 b=7.6741 c=8.0042 alpha=111.66 beta=94.68 gamma=106.15
Closest atoms and distances in Å follow each position.
Element x y z (fractional)
Rb 0.2116 0.3205 0.1433  7 S 3.37-3.52
Rb 0.7884 0.6795 0.8567  7 S 3.37-3.52
Al 0.5000 0.0000 0.5000  4 S 2.26-2.29
S 0.1651 0.7379 0.5719  1 S 1.96
S 0.2230 0.5442 0.6579  1 S 1.96
S 0.2274 0.9319 0.2537  1 S 2.16, 1 Al 2.29
S 0.4882 0.7929 0.2093  1 S 2.16, 1 Al 2.26
S 0.5118 0.2071 0.7907  1 S 2.16, 1 Al 2.26
S 0.7726 0.0681 0.7463  1 S 2.16, 1 Al 2.29
S 0.7770 0.4558 0.3421  1 S 1.96
S 0.8349 0.2621 0.4281  1 S 1.96


Entry 5:
This record from Alexandria via LeMat-Bulk describes a geometry-optimized PmNi2Pt4 structure. The functional is PBE.

Output
For the total energy, the calculation gives -43.53 eV per cell. Its space-group type is Immm (71). The calculated volume comes out at 16.6 Å³ per atom. The calculation puts the formation energy at -0.436 eV/atom.

Unit cell a=5.4011 b=5.4011 c=5.4011 alpha=123.16 beta=103.37 gamma=102.81
Closest atoms and distances in Å follow each position.
Element x y z (fractional)
Pm 0.0000 0.0000 0.0000  4 Pt 2.85
Ni 0.5000 0.2494 0.7494  2 Ni 2.56-2.58, 8 Pt 2.74-2.75
Ni 0.5000 0.7506 0.2506  2 Ni 2.56-2.58, 8 Pt 2.74-2.75
Pt 0.0008 0.3004 0.7004  4 Pt 2.68-2.74, 4 Ni 2.74-2.75, 1 Pm 2.85
Pt 0.4000 0.6996 0.7004  4 Pt 2.68-2.74, 4 Ni 2.74-2.75, 1 Pm 2.85
Pt 0.6000 0.3004 0.2996  4 Pt 2.68-2.74, 4 Ni 2.74-2.75, 1 Pm 2.85
Pt 0.9992 0.6996 0.2996  4 Pt 2.68-2.74, 4 Ni 2.74-2.75, 1 Pm 2.85


Entry 6:
This record from Alexandria via LeMat-Bulk describes a geometry-optimized Ca2PPb structure. The functional is PBE.

Output
For the total energy, the calculation gives -15.86 eV per cell. The value obtained for the energy above the lowest structure with this stoichiometry is 4.7 meV per atom. Its space-group type is P4/mmm (123). The calculated volume comes out at 25.7 Å³ per atom. The calculation puts the formation energy at -0.684 eV/atom.

Unit cell a=3.8114 b=3.8114 c=7.0756 alpha=90.00 beta=90.00 gamma=90.00
Closest atoms and distances in Å follow each position.
Element x y z (fractional)
Ca 0.0000 0.0000 0.2098  1 Ca 2.97, 4 P 3.08
Ca 0.0000 0.0000 0.7902  1 Ca 2.97, 4 P 3.08
P 0.5000 0.5000 0.0000  8 Ca 3.08
Pb 0.5000 0.5000 0.5000  8 Ca 3.39, 2 P 3.54


Entry 7:
This record from Alexandria via LeMat-Bulk describes a geometry-optimized LaIn2Ru structure. The functional is PBE.

Output
For the total energy, the calculation gives -20.22 eV per cell. Its space-group type is P2/m (10). The calculated volume comes out at 24.2 Å³ per atom. The calculation puts the formation energy at -0.136 eV/atom.

Unit cell a=3.7628 b=4.9645 c=5.4172 alpha=90.00 beta=106.58 gamma=90.00
Closest atoms and distances in Å follow each position.
Element x y z (fractional)
La 0.0000 0.0000 0.0000  2 Ru 2.82
In 0.3594 0.5000 0.7149  3 In 2.82-3.02, 2 Ru 2.85
In 0.6406 0.5000 0.2851  3 In 2.82-3.02, 2 Ru 2.85
Ru 0.5000 0.0000 0.5000  2 La 2.82, 4 In 2.85


Entry 8:
This record from Alexandria via LeMat-Bulk describes a geometry-optimized PrCd6Ga2 structure. The functional is PBE.

Output
For the total energy, the calculation gives -18.22 eV per cell. Its space-group type is P4/mmm (123). The calculated volume comes out at 22.3 Å³ per atom. The calculation puts the formation energy at -0.210 eV/atom.

Unit cell a=4.4238 b=4.4238 c=10.2389 alpha=90.00 beta=90.00 gamma=90.00
Closest atoms and distances in Å follow each position.
Element x y z (fractional)
Pr 0.0000 0.0000 0.0000  8 Ga 3.36, 8 Cd 3.63
Cd 0.0000 0.0000 0.5000  12 Cd 3.13-3.15
Cd 0.0000 0.5000 0.2807  2 Ga 2.76
Cd 0.0000 0.5000 0.7193  2 Ga 2.76
Cd 0.5000 0.0000 0.2807  2 Ga 2.76
Cd 0.5000 0.0000 0.7193  2 Ga 2.76
Cd 0.5000 0.5000 0.5000  12 Cd 3.13-3.15
Ga 0.5000 0.5000 0.1188  1 Ga 2.43
Ga 0.5000 0.5000 0.8812  1 Ga 2.43


Entry 9:
This record from Alexandria via LeMat-Bulk describes a geometry-optimized Ho3ErTc structure. The functional is PBE.

Output
For the total energy, the calculation gives -57.66 eV per cell. The value obtained for the energy above the lowest structure with this stoichiometry is 16.4 meV per atom. Its space-group type is C2/m (12). The calculated volume comes out at 28.8 Å³ per atom. The calculation puts the formation energy at -0.033 eV/atom.

Unit cell a=7.2165 b=7.2165 c=7.8379 alpha=122.83 beta=122.83 gamma=72.93
Closest atoms and distances in Å follow each position.
Element x y z (fractional)
Ho 0.0533 0.0533 0.3474  1 Tc 2.68
Ho 0.0541 0.4470 0.2064  1 Tc 2.68
Ho 0.4470 0.0541 0.2064  1 Tc 2.68
Ho 0.5530 0.9459 0.7936  1 Tc 2.68
Ho 0.9459 0.5530 0.7936  1 Tc 2.68
Ho 0.9467 0.9467 0.6526  1 Tc 2.68
Er 0.4462 0.4462 0.7418  1 Tc 2.68
Er 0.5538 0.5538 0.2582  1 Tc 2.68
Tc 0.2501 0.2501 0.8745  3 Ho 2.68, 1 Er 2.68
Tc 0.7499 0.7499 0.1255  3 Ho 2.68, 1 Er 2.68


Entry 10:
This record from Alexandria via LeMat-Bulk describes a geometry-optimized Mg3ZnCd2 structure. The functional is PBE.

Output
For the total energy, the calculation gives -8.41 eV per cell. Its space-group type is Cmmm (65). The calculated volume comes out at 20.5 Å³ per atom. The calculation puts the formation energy at -0.087 eV/atom.

Unit cell a=7.5057 b=7.5057 c=3.6128 alpha=90.00 beta=90.00 gamma=142.89
Closest atoms and distances in Å follow each position.
Element x y z (fractional)
Mg 0.0000 0.0000 0.0000  4 Zn 2.99, 4 Cd 3.02, 4 Mg 3.27
Mg 0.3433 0.6567 0.0000  2 Zn 2.87, 6 Cd 3.00-3.06
Mg 0.6567 0.3433 0.0000  2 Zn 2.87, 6 Cd 3.00-3.06
Zn 0.5000 0.5000 0.5000  8 Mg 2.87-2.99
Cd 0.1697 0.8303 0.5000  8 Mg 3.00-3.06, 2 Cd 3.31
Cd 0.8303 0.1697 0.5000  8 Mg 3.00-3.06, 2 Cd 3.31


Entry 11:
This record from Alexandria via LeMat-Bulk describes a geometry-optimized Sr2Cd4GaAg3 structure. The functional is PBE.

Output
For the total energy, the calculation gives -20.82 eV per cell. Its space-group type is P-4m2 (115). The calculated volume comes out at 25.4 Å³ per atom. The calculation puts the formation energy at -0.222 eV/atom.

Unit cell a=4.4519 b=4.4519 c=12.8203 alpha=90.00 beta=90.00 gamma=90.00
Closest atoms and distances in Å follow each position.
Element x y z (fractional)
Sr 0.0000 0.5000 0.2505  4 Ag 3.42, 4 Cd 3.46
Sr 0.5000 0.0000 0.7495  4 Ag 3.42, 4 Cd 3.46
Cd 0.0000 0.0000 0.0000  4 Ag 2.90, 4 Cd 3.15
Cd 0.0000 0.5000 0.6379  3 Ag 2.78-2.84, 2 Ga 2.84
Cd 0.5000 0.0000 0.3621  3 Ag 2.78-2.84, 2 Ga 2.84
Cd 0.5000 0.5000 0.0000  4 Ag 2.90, 4 Cd 3.15
Ga 0.0000 0.0000 0.5000  4 Cd 2.84, 4 Ag 3.15
Ag 0.0000 0.5000 0.8547  5 Cd 2.78-2.90
Ag 0.5000 0.0000 0.1453  5 Cd 2.78-2.90
Ag 0.5000 0.5000 0.5000  4 Cd 2.84, 4 Ga 3.15


Entry 12:
This record from Alexandria via LeMat-Bulk describes a geometry-optimized TaAlB3 structure. The functional is PBE.

Output
For the total energy, the calculation gives -27.58 eV per cell. Its space-group type is Pm-3m (221). The calculated volume comes out at 12.0 Å³ per atom. The calculation puts the formation energy at 1.609 eV/atom.

Unit cell a=3.9196 b=3.9196 c=3.9196 alpha=90.00 beta=90.00 gamma=90.00
Closest atoms and distances in Å follow each position.
Element x y z (fractional)
Ta 0.0000 0.0000 0.0000  12 B 2.77
Al 0.5000 0.5000 0.5000  6 B 1.96
B 0.0000 0.5000 0.5000  2 Al 1.96
B 0.5000 0.0000 0.5000  2 Al 1.96
B 0.5000 0.5000 0.0000  2 Al 1.96


Entry 13:
This record from Alexandria via LeMat-Bulk describes a geometry-optimized CsHf3Cr structure. The functional is PBE.

Output
For the total energy, the calculation gives -35.17 eV per cell. The value obtained for the energy above the lowest structure with this stoichiometry is 0.0 meV per atom. Its space-group type is Pm-3m (221). The calculated volume comes out at 26.3 Å³ per atom. The calculation puts the formation energy at 1.033 eV/atom.

Unit cell a=5.0838 b=5.0838 c=5.0838 alpha=90.00 beta=90.00 gamma=90.00
Closest atoms and distances in Å follow each position.
Element x y z (fractional)
Cs 0.0000 0.0000 0.0000  12 Hf 3.59
Hf 0.0000 0.5000 0.5000  2 Cr 2.54
Hf 0.5000 0.0000 0.5000  2 Cr 2.54
Hf 0.5000 0.5000 0.0000  2 Cr 2.54
Cr 0.5000 0.5000 0.5000  6 Hf 2.54